[1]
{
  "formula": "NpAgTe3Au",
  "functional": "GGA-PBE",
  "state": "optimized geometry",
  "lattice_angstrom": [[7.473, 0.000, 0.000], [0.000, 4.206, 0.000], [-1.726, 0.000, 10.445]],
  "species": ["Np", "Np", "Ag", "Ag", "Te", "Te", "Te", "Te", "Te", "Te", "Au", "Au"],
  "fractional_positions": [[0.228, 0.250, 0.303], [0.772, 0.750, 0.697], [0.332, 0.750, 0.849], [0.668, 0.250, 0.151], [0.055, 0.250, 0.835], [0.332, 0.750, 0.529], [0.400, 0.750, 0.142], [0.600, 0.250, 0.858], [0.668, 0.250, 0.471], [0.945, 0.750, 0.165], [0.095, 0.250, 0.580], [0.905, 0.750, 0.420]],
  "spacegroup": "No. 11",
  "raw_formation_energy_ev_per_atom": -0.277,
  "e_tot_ev_per_cell": -60.32
}

[2]
{
  "formula": "Dy3Cd3Cu2",
  "functional": "GGA-PBE",
  "state": "optimized geometry",
  "lattice_angstrom": [[7.505, 0.000, 0.000], [-3.753, 6.500, 0.000], [0.000, 0.000, 3.746]],
  "species": ["Dy", "Dy", "Dy", "Cd", "Cd", "Cd", "Cu", "Cu"],
  "fractional_positions": [[0.000, 0.419, 0.000], [0.419, 0.000, 0.000], [0.581, 0.581, 0.000], [0.000, 0.768, 0.500], [0.232, 0.232, 0.500], [0.768, 0.000, 0.500], [0.333, 0.667, 0.500], [0.667, 0.333, 0.500]],
  "spacegroup": "No. 189",
  "e_tot_ev_per_cell": -27.04,
  "formation_enthalpy_0k_ev_per_atom": -0.2868
}

[3]
{
  "formula": "AcNiSn",
  "functional": "GGA-PBE",
  "state": "optimized geometry",
  "lattice_angstrom": [[6.882, 0.000, 0.000], [0.000, 6.882, 0.000], [0.000, 0.000, 7.011]],
  "species": ["Ac", "Ac", "Ac", "Ac", "Ni", "Ni", "Ni", "Ni", "Sn", "Sn", "Sn", "Sn"],
  "fractional_positions": [[0.230, 0.230, 0.000], [0.270, 0.730, 0.250], [0.730, 0.270, 0.750], [0.770, 0.770, 0.500], [0.050, 0.950, 0.750], [0.450, 0.450, 0.500], [0.550, 0.550, 0.000], [0.950, 0.050, 0.250], [0.188, 0.188, 0.500], [0.312, 0.688, 0.750], [0.688, 0.312, 0.250], [0.812, 0.812, 0.000]],
  "spacegroup": "No. 92",
  "polymorph_energy_ev_per_atom": 0.275,
  "e_tot_ev_per_cell": -59.05,
  "formation_enthalpy_0k_ev_per_atom": -0.2902
}

[4]
{
  "formula": "MgBe3Pt",
  "functional": "GGA-PBE",
  "state": "optimized geometry",
  "lattice_angstrom": [[4.294, 0.000, 0.000], [0.000, 4.294, 0.000], [0.000, 0.000, 4.294]],
  "species": ["Mg", "Be", "Be", "Be", "Pt"],
  "fractional_positions": [[0.000, 0.000, 0.000], [0.000, 0.500, 0.500], [0.500, 0.000, 0.500], [0.500, 0.500, 0.000], [0.500, 0.500, 0.500]],
  "spacegroup": "No. 221",
  "polymorph_energy_ev_per_atom": 0.000,
  "e_tot_ev_per_cell": -18.32,
  "formation_enthalpy_0k_ev_per_atom": 0.0978
}

[5]
{
  "formula": "BaLaZnOs2",
  "functional": "GGA-PBE",
  "state": "optimized geometry",
  "lattice_angstrom": [[4.867, 0.000, 0.000], [0.000, 4.867, 0.000], [0.000, 0.000, 5.184]],
  "species": ["Ba", "La", "Zn", "Os", "Os"],
  "fractional_positions": [[0.000, 0.000, 0.000], [0.500, 0.500, 0.000], [0.000, 0.000, 0.500], [0.000, 0.500, 0.500], [0.500, 0.000, 0.500]],
  "spacegroup": "No. 123",
  "e_tot_ev_per_cell": -24.95,
  "formation_enthalpy_0k_ev_per_atom": 1.1272
}

[6]
{
  "formula": "Zr6NbAg",
  "functional": "GGA-PBE",
  "state": "optimized geometry",
  "lattice_angstrom": [[-1.708, 2.595, 9.802], [1.708, -2.595, 9.802], [1.708, 2.595, -9.802]],
  "species": ["Zr", "Zr", "Zr", "Zr", "Zr", "Zr", "Nb", "Ag"],
  "fractional_positions": [[0.112, 0.112, 0.000], [0.243, 0.743, 0.500], [0.375, 0.375, 0.000], [0.625, 0.625, 0.000], [0.757, 0.257, 0.500], [0.888, 0.888, 0.000], [0.000, 0.500, 0.500], [0.500, 0.000, 0.500]],
  "spacegroup": "No. 71",
  "e_tot_ev_per_cell": -63.39,
  "formation_enthalpy_0k_ev_per_atom": 0.1025
}

[7]
{
  "formula": "Pr6HgTe3P2",
  "functional": "GGA-PBE",
  "state": "optimized geometry",
  "lattice_angstrom": [[9.650, -2.167, 0.000], [9.650, 2.167, 0.000], [-2.168, 0.000, 8.744]],
  "species": ["Pr", "Pr", "Pr", "Pr", "Pr", "Pr", "Hg", "Te", "Te", "Te", "P", "P"],
  "fractional_positions": [[0.012, 0.012, 0.256], [0.325, 0.325, 0.435], [0.331, 0.331, 0.888], [0.669, 0.669, 0.112], [0.675, 0.675, 0.565], [0.988, 0.988, 0.744], [0.500, 0.500, 0.000], [0.163, 0.163, 0.833], [0.500, 0.500, 0.500], [0.837, 0.837, 0.167], [0.169, 0.169, 0.337], [0.831, 0.831, 0.663]],
  "spacegroup": "No. 12",
  "raw_formation_energy_ev_per_atom": -1.338,
  "e_tot_ev_per_cell": -65.28
}

[8]
{
  "formula": "Y2HgB",
  "functional": "GGA-PBE",
  "state": "optimized geometry",
  "lattice_angstrom": [[0.000, 3.522, 3.522], [3.522, 0.000, 3.522], [3.522, 3.522, 0.000]],
  "species": ["Y", "Y", "Hg", "B"],
  "fractional_positions": [[0.250, 0.250, 0.250], [0.750, 0.750, 0.750], [0.000, 0.000, 0.000], [0.500, 0.500, 0.500]],
  "spacegroup": "No. 225",
  "polymorph_energy_ev_per_atom": 0.018,
  "e_tot_ev_per_cell": -19.61,
  "formation_enthalpy_0k_ev_per_atom": 0.0732
}

[9]
{
  "formula": "Te3W2Se",
  "functional": "GGA-PBE",
  "state": "optimized geometry",
  "lattice_angstrom": [[3.493, 0.000, 0.000], [-1.747, 3.025, 0.000], [0.000, 0.000, 29.502]],
  "species": ["Te", "Te", "Te", "Te", "Te", "Te", "W", "W", "W", "W", "Se", "Se"],
  "fractional_positions": [[0.000, 0.000, 0.000], [0.000, 0.000, 0.125], [0.000, 0.000, 0.491], [0.000, 0.000, 0.616], [0.333, 0.667, 0.745], [0.333, 0.667, 0.870], [0.000, 0.000, 0.309], [0.000, 0.000, 0.808], [0.333, 0.667, 0.062], [0.333, 0.667, 0.553], [0.333, 0.667, 0.254], [0.333, 0.667, 0.364]],
  "spacegroup": "No. 156",
  "raw_formation_energy_ev_per_atom": -0.180,
  "e_tot_ev_per_cell": -79.79
}

[10]
{
  "formula": "BaPa3Cu4Se12",
  "functional": "GGA-PBE",
  "state": "optimized geometry",
  "lattice_angstrom": [[7.149, 4.128, 3.523], [-7.149, 4.128, 3.523], [0.000, -8.255, 3.523]],
  "species": ["Ba", "Pa", "Pa", "Pa", "Cu", "Cu", "Cu", "Cu", "Se", "Se", "Se", "Se", "Se", "Se", "Se", "Se", "Se", "Se", "Se", "Se"],
  "fractional_positions": [[0.000, 0.000, 0.000], [0.000, 0.560, 0.440], [0.440, 0.000, 0.560], [0.560, 0.440, 0.000], [0.073, 0.500, 0.927], [0.500, 0.500, 0.500], [0.500, 0.927, 0.073], [0.927, 0.073, 0.500], [0.030, 0.658, 0.764], [0.094, 0.906, 0.500], [0.236, 0.342, 0.970], [0.339, 0.661, 0.500], [0.342, 0.970, 0.236], [0.500, 0.094, 0.906], [0.500, 0.339, 0.661], [0.658, 0.764, 0.030], [0.661, 0.500, 0.339], [0.764, 0.030, 0.658], [0.906, 0.500, 0.094], [0.970, 0.236, 0.342]],
  "spacegroup": "No. 155",
  "raw_formation_energy_ev_per_atom": -0.784,
  "e_tot_ev_per_cell": -104.29
}

[11]
{
  "formula": "Hf3BiTe",
  "functional": "GGA-PBE",
  "state": "optimized geometry",
  "lattice_angstrom": [[5.255, 0.000, 0.000], [0.000, 5.255, 0.000], [0.000, 0.000, 5.255]],
  "species": ["Hf", "Hf", "Hf", "Bi", "Te"],
  "fractional_positions": [[0.000, 0.000, 0.500], [0.000, 0.500, 0.000], [0.500, 0.000, 0.000], [0.500, 0.500, 0.500], [0.000, 0.000, 0.000]],
  "spacegroup": "No. 221",
  "raw_formation_energy_ev_per_atom": 0.810,
  "polymorph_energy_ev_per_atom": 1.022,
  "e_tot_ev_per_cell": -32.83
}

[12]
{
  "formula": "K2TiAsSe4",
  "functional": "GGA-PBE",
  "state": "optimized geometry",
  "lattice_angstrom": [[0.000, 7.011, 11.317], [3.403, 0.000, 11.317], [3.403, 7.011, 0.000]],
  "species": ["K", "K", "K", "K", "Ti", "Ti", "As", "As", "Se", "Se", "Se", "Se", "Se", "Se", "Se", "Se"],
  "fractional_positions": [[0.055, 0.055, 0.695], [0.305, 0.305, 0.945], [0.695, 0.695, 0.055], [0.945, 0.945, 0.305], [0.125, 0.125, 0.125], [0.875, 0.875, 0.875], [0.375, 0.375, 0.375], [0.625, 0.625, 0.625], [0.062, 0.291, 0.399], [0.252, 0.601, 0.709], [0.291, 0.062, 0.748], [0.399, 0.748, 0.062], [0.601, 0.252, 0.938], [0.709, 0.938, 0.252], [0.748, 0.399, 0.291], [0.938, 0.709, 0.601]],
  "spacegroup": "No. 70",
  "raw_formation_energy_ev_per_atom": -0.786,
  "e_tot_ev_per_cell": -69.93
}

[13]
{
  "formula": "Pm4Pa3N8",
  "functional": "GGA-PBE",
  "state": "optimized geometry",
  "lattice_angstrom": [[4.914, -5.012, 0.000], [4.914, 5.012, 0.000], [-4.910, 0.000, 5.072]],
  "species": ["Pm", "Pm", "Pm", "Pm", "Pa", "Pa", "Pa", "N", "N", "N", "N", "N", "N", "N", "N"],
  "fractional_positions": [[0.000, 0.000, 0.000], [0.000, 0.500, 0.000], [0.500, 0.000, 0.000], [0.500, 0.500, 0.500], [0.000, 0.500, 0.500], [0.500, 0.000, 0.500], [0.500, 0.500, 0.000], [0.254, 0.746, 0.000], [0.258, 0.742, 0.500], [0.262, 0.262, 0.512], [0.289, 0.289, 0.025], [0.711, 0.711, 0.975], [0.738, 0.738, 0.488], [0.742, 0.258, 0.500], [0.746, 0.254, 0.000]],
  "spacegroup": "No. 12",
  "raw_formation_energy_ev_per_atom": -1.320,
  "e_tot_ev_per_cell": -133.89
}

[14]
{
  "formula": "Ni3Ir3Ru",
  "functional": "GGA-PBE",
  "state": "optimized geometry",
  "lattice_angstrom": [[7.005, 0.000, 0.000], [-3.502, 6.066, 0.000], [0.000, 0.000, 4.289]],
  "species": ["Ni", "Ni", "Ni", "Ni", "Ni", "Ni", "Ir", "Ir", "Ir", "Ir", "Ir", "Ir", "Ru", "Ru"],
  "fractional_positions": [[0.041, 0.812, 0.250], [0.188, 0.229, 0.250], [0.229, 0.041, 0.750], [0.771, 0.959, 0.250], [0.812, 0.771, 0.750], [0.959, 0.188, 0.750], [0.089, 0.627, 0.750], [0.373, 0.463, 0.750], [0.463, 0.089, 0.250], [0.537, 0.911, 0.750], [0.627, 0.537, 0.250], [0.911, 0.373, 0.250], [0.333, 0.667, 0.250], [0.667, 0.333, 0.750]],
  "spacegroup": "No. 176",
  "e_tot_ev_per_cell": -106.02,
  "formation_enthalpy_0k_ev_per_atom": 0.0272
}

[15]
{
  "formula": "SmPtS",
  "functional": "GGA-PBE",
  "state": "optimized geometry",
  "lattice_angstrom": [[2.216, 1.279, 8.245], [-2.216, 1.279, 8.245], [0.000, -2.559, 8.245]],
  "species": ["Sm", "Sm", "Pt", "Pt", "S", "S"],
  "fractional_positions": [[0.088, 0.088, 0.088], [0.912, 0.912, 0.912], [0.334, 0.334, 0.334], [0.666, 0.666, 0.666], [0.208, 0.208, 0.208], [0.792, 0.792, 0.792]],
  "spacegroup": "No. 166",
  "raw_formation_energy_ev_per_atom": -1.358,
  "e_tot_ev_per_cell": -37.92
}

[16]
{
  "formula": "ZrTi4Te8",
  "functional": "GGA-PBE",
  "state": "optimized geometry",
  "lattice_angstrom": [[3.901, 2.252, 6.727], [-3.901, 2.252, 6.727], [0.000, -4.504, 6.727]],
  "species": ["Zr", "Ti", "Ti", "Ti", "Ti", "Te", "Te", "Te", "Te", "Te", "Te", "Te", "Te"],
  "fractional_positions": [[0.000, 0.000, 0.000], [0.000, 0.000, 0.500], [0.000, 0.500, 0.000], [0.500, 0.000, 0.000], [0.500, 0.500, 0.500], [0.248, 0.248, 0.248], [0.255, 0.255, 0.739], [0.255, 0.739, 0.255], [0.261, 0.745, 0.745], [0.739, 0.255, 0.255], [0.745, 0.261, 0.745], [0.745, 0.745, 0.261], [0.752, 0.752, 0.752]],
  "spacegroup": "No. 166",
  "raw_formation_energy_ev_per_atom": -0.691,
  "e_tot_ev_per_cell": -74.24
}

[17]
{
  "formula": "PuThAlTl",
  "functional": "GGA-PBE",
  "state": "optimized geometry",
  "lattice_angstrom": [[0.000, 3.777, 3.777], [3.777, 0.000, 3.777], [3.777, 3.777, 0.000]],
  "species": ["Pu", "Th", "Al", "Tl"],
  "fractional_positions": [[0.000, 0.000, 0.000], [0.500, 0.500, 0.500], [0.250, 0.250, 0.250], [0.750, 0.750, 0.750]],
  "spacegroup": "No. 216",
  "e_tot_ev_per_cell": -27.97,
  "formation_enthalpy_0k_ev_per_atom": -0.0277
}

[18]
{
  "formula": "Ba2Cd7Ag",
  "functional": "GGA-PBE",
  "state": "optimized geometry",
  "lattice_angstrom": [[4.748, 0.000, 0.000], [0.000, 4.748, 0.000], [0.000, 0.000, 12.791]],
  "species": ["Ba", "Ba", "Cd", "Cd", "Cd", "Cd", "Cd", "Cd", "Cd", "Ag"],
  "fractional_positions": [[0.000, 0.500, 0.246], [0.500, 0.000, 0.754], [0.000, 0.000, 0.000], [0.000, 0.000, 0.500], [0.000, 0.500, 0.641], [0.000, 0.500, 0.869], [0.500, 0.000, 0.131], [0.500, 0.000, 0.359], [0.500, 0.500, 0.500], [0.500, 0.500, 0.000]],
  "spacegroup": "No. 115",
  "e_tot_ev_per_cell": -15.65,
  "formation_enthalpy_0k_ev_per_atom": -0.2552
}

[19]
{
  "formula": "Ac2TmAg3Pb4",
  "functional": "GGA-PBE",
  "state": "optimized geometry",
  "lattice_angstrom": [[4.796, 0.000, 0.000], [0.000, 4.796, 0.000], [0.000, 0.000, 12.651]],
  "species": ["Ac", "Ac", "Tm", "Ag", "Ag", "Ag", "Pb", "Pb", "Pb", "Pb"],
  "fractional_positions": [[0.000, 0.500, 0.237], [0.500, 0.000, 0.763], [0.000, 0.000, 0.500], [0.000, 0.500, 0.864], [0.500, 0.000, 0.136], [0.500, 0.500, 0.500], [0.000, 0.000, 0.000], [0.000, 0.500, 0.645], [0.500, 0.000, 0.355], [0.500, 0.500, 0.000]],
  "spacegroup": "No. 115",
  "e_tot_ev_per_cell": -39.30,
  "formation_enthalpy_0k_ev_per_atom": -0.3224
}

[20]
{
  "formula": "HoTh3",
  "functional": "GGA-PBE",
  "state": "optimized geometry",
  "lattice_angstrom": [[5.905, -1.773, 0.000], [5.905, 1.773, 0.000], [-1.043, 0.000, 6.080]],
  "species": ["Ho", "Th", "Th", "Th"],
  "fractional_positions": [[0.000, 0.000, 0.000], [0.251, 0.251, 0.751], [0.500, 0.500, 0.500], [0.749, 0.749, 0.249]],
  "spacegroup": "No. 12",
  "polymorph_energy_ev_per_atom": 0.000,
  "e_tot_ev_per_cell": -26.68,
  "formation_enthalpy_0k_ev_per_atom": 0.0402
}

Size of the total moment per entry: 6.86, 0.00, 0.00, 0.00, 0.00, 0.00, 0.00, 0.00, 0.00, 0.00, 0.00, 0.41, 0.00, 0.01, 0.00, 1.89, 5.88, 0.00, 0.00, 0.00 μB/cell